(1)
First-principles (PBE) data for LiPRu2 after structural relaxation, as listed in the Alexandria database.

The total moment is 0.0 Bohr magnetons per cell. The calculation puts the formation enthalpy at 0 K at 0.167 eV/atom.

The structure belongs to space group Cmm2 (No. 35); the cell edges are 2.830, 4.645 and 8.515 Å and the angles 90.00°, 90.00° and 90.00°. The asymmetric unit holds Li at (0.000, 0.000, 0.000), P at (0.000, 0.500, 0.249), Ru at (0.000, 0.000, 0.466) and Ru at (0.000, 0.500, 0.736).



(2)
First-principles (PBE) data for Li2P7Ru12 after structural relaxation, as listed in the Alexandria database.

The total moment is 0.0 Bohr magnetons per cell. The calculation puts the formation enthalpy at 0 K at -0.508 eV/atom.

The structure belongs to space group P-6 (No. 174); the cell edges are 9.3922, 9.3922 and 3.8701 Å and the angles 90.00°, 90.00° and 120.00°. The asymmetric unit holds Li at (0.0000, 0.0000, 0.0000), Li at (0.3333, 0.6667, 0.5000), P at (0.0725, 0.4273, 0.0000), P at (0.2725, 0.2320, 0.5000), P at (0.6667, 0.3333, 0.0000), Ru at (0.0501, 0.2675, 0.5000), Ru at (0.1094, 0.6874, 0.0000), Ru at (0.3919, 0.1881, 0.0000) and Ru at (0.5525, 0.4312, 0.5000).



(3)
First-principles (PBE) data for LiPRu2 after structural relaxation, as listed in the Alexandria database.

The total moment is 0.0 Bohr magnetons per cell. The calculation puts the formation enthalpy at 0 K at -0.044 eV/atom.

The structure belongs to space group P4mm (No. 99); the cell edges are 2.791, 2.791 and 7.227 Å and the angles 90.00°, 90.00° and 90.00°. The asymmetric unit holds Li at (0.000, 0.000, 0.000), P at (0.500, 0.500, 0.265), Ru at (0.000, 0.000, 0.458) and Ru at (0.500, 0.500, 0.717).